(1)
Here is a relaxed Tb2SmPb7 crystal from OQMD. Energies are from PBE-GGA.

a = 13.738 Å, b = 13.738 Å, c = 4.633 Å
α = 90.00°, β = 90.00°, γ = 160.84°
Positions (direct):
Pb: 0.791 0.209 0.000
Pb: 0.599 0.401 0.000
Pb: 0.401 0.599 0.000
Pb: 0.209 0.791 0.000
Pb: 0.902 0.098 0.500
Pb: 0.500 0.500 0.500
Pb: 0.098 0.902 0.500
Sm: 0.000 0.000 0.000
Tb: 0.692 0.308 0.500
Tb: 0.308 0.692 0.500

## Properties
The total energy is -43.5 eV per cell. The calculation puts the mass density at 11.1 g cm⁻³. As for the space group: Cmmm, No. 65. The magnetization is 0.0 μB/f.u.

(2)
Here is a relaxed TbSmPb2 crystal from OQMD. Energies are from PBE-GGA.

a = 4.463 Å, b = 6.318 Å, c = 6.318 Å
α = 42.45°, β = 90.00°, γ = 90.00°
Positions (direct):
Pb: 0.500 0.099 0.099
Pb: 0.000 0.901 0.901
Sm: 0.000 0.631 0.631
Tb: 0.500 0.370 0.370

## Properties
The total energy is -18.8 eV per cell. The calculation puts the mass density at 10.0 g cm⁻³. As for the space group: Amm2, No. 38. The magnetization is 0.0 μB/f.u.

(3)
Here is a relaxed TbSmPb crystal from OQMD. Energies are from PBE-GGA.

a = 5.230 Å, b = 5.230 Å, c = 5.230 Å
α = 60.00°, β = 60.00°, γ = 60.00°
Positions (direct):
Pb: 0.000 0.000 0.000
Sm: 0.250 0.250 0.250
Tb: 0.750 0.750 0.750

## Properties
The total energy is -13.7 eV per cell. The calculation puts the mass density at 8.5 g cm⁻³. As for the space group: F-43m, No. 216. The magnetization is 0.1 μB/f.u.

(4)
Here is a relaxed TbSmZn2Pb2 crystal from OQMD. Energies are from PBE-GGA.

a = 4.614 Å, b = 4.614 Å, c = 16.199 Å
α = 90.00°, β = 90.00°, γ = 120.00°
Positions (direct):
Pb: 0.333 0.667 0.112
Pb: 0.333 0.667 0.388
Pb: 0.667 0.333 0.612
Pb: 0.667 0.333 0.888
Sm: 0.000 0.000 0.000
Sm: 0.000 0.000 0.500
Tb: 0.000 0.000 0.250
Tb: 0.000 0.000 0.750
Zn: 0.667 0.333 0.165
Zn: 0.667 0.333 0.335
Zn: 0.333 0.667 0.665
Zn: 0.333 0.667 0.835

## Properties
The total energy is -43.9 eV per cell. The calculation puts the mass density at 9.5 g cm⁻³. As for the space group: P6_3/mmc, No. 194. The magnetization is 0.0 μB/f.u.

(5)
Here is a relaxed TbSmZn2Pb2 crystal from OQMD. Energies are from PBE-GGA.

a = 4.627 Å, b = 4.627 Å, c = 16.190 Å
α = 90.00°, β = 90.00°, γ = 120.00°
Positions (direct):
Pb: 0.333 0.667 0.109
Pb: 0.333 0.667 0.391
Pb: 0.667 0.333 0.609
Pb: 0.667 0.333 0.891
Sm: 0.000 0.000 0.250
Sm: 0.000 0.000 0.750
Tb: 0.000 0.000 0.000
Tb: 0.000 0.000 0.500
Zn: 0.667 0.333 0.163
Zn: 0.667 0.333 0.337
Zn: 0.333 0.667 0.663
Zn: 0.333 0.667 0.837

## Properties
The total energy is -43.8 eV per cell. The calculation puts the mass density at 9.5 g cm⁻³. As for the space group: P6_3/mmc, No. 194. The magnetization is 0.0 μB/f.u.

(6)
Here is a relaxed Sm5Te4Pb crystal from OQMD. Energies are from PBE-GGA.

a = 7.734 Å, b = 7.734 Å, c = 7.734 Å
α = 99.56°, β = 99.56°, γ = 131.91°
Positions (direct):
Pb: 0.999 0.999 0.000
Sm: 0.499 0.499 0.000
Sm: 0.899 0.295 0.197
Sm: 0.295 0.099 0.396
Sm: 0.703 0.899 0.604
Sm: 0.099 0.703 0.803
Te: 0.400 0.800 0.202
Te: 0.800 0.598 0.400
Te: 0.198 0.400 0.600
Te: 0.598 0.198 0.798

## Properties
The total energy is -52.5 eV per cell. The calculation puts the mass density at 7.8 g cm⁻³. As for the space group: I4/m, No. 87. The magnetization is 0.0 μB/f.u.

(7)
Here is a relaxed SmTe2Pb crystal from OQMD. Energies are from PBE-GGA.

a = 4.537 Å, b = 4.537 Å, c = 6.458 Å
α = 90.00°, β = 90.00°, γ = 90.00°
Positions (direct):
Pb: 0.500 0.500 0.000
Sm: 0.000 0.000 0.500
Te: 0.000 0.000 0.000
Te: 0.500 0.500 0.500

## Properties
The total energy is -18.0 eV per cell. The calculation puts the mass density at 7.7 g cm⁻³. As for the space group: P4/mmm, No. 123. The magnetization is 0.0 μB/f.u.

(8)
Here is a relaxed SmTePb crystal from OQMD. Energies are from PBE-GGA.

a = 5.281 Å, b = 5.281 Å, c = 5.281 Å
α = 60.00°, β = 60.00°, γ = 60.00°
Positions (direct):
Pb: 0.250 0.250 0.250
Sm: 0.000 0.000 0.000
Te: 0.750 0.750 0.750

## Properties
The total energy is -12.7 eV per cell. The calculation puts the mass density at 7.7 g cm⁻³. As for the space group: F-43m, No. 216. The magnetization is 0.3 μB/f.u.

(9)
Here is a relaxed Sm2Te3Pb crystal from OQMD. Energies are from PBE-GGA.

a = 4.490 Å, b = 4.490 Å, c = 11.205 Å
α = 90.00°, β = 90.00°, γ = 120.00°
Positions (direct):
Pb: 0.000 0.000 0.500
Sm: 0.333 0.667 0.147
Sm: 0.667 0.333 0.853
Te: 0.000 0.000 0.000
Te: 0.667 0.333 0.323
Te: 0.333 0.667 0.677

## Properties
The total energy is -28.7 eV per cell. The calculation puts the mass density at 7.6 g cm⁻³. As for the space group: P-3m1, No. 164. The magnetization is 0.0 μB/f.u.

(10)
Here is a relaxed SmTePb crystal from OQMD. Energies are from PBE-GGA.

a = 5.243 Å, b = 5.243 Å, c = 5.243 Å
α = 60.00°, β = 60.00°, γ = 60.00°
Positions (direct):
Pb: 0.250 0.250 0.250
Sm: 0.750 0.750 0.750
Te: 0.000 0.000 0.000

## Properties
The total energy is -12.8 eV per cell. The calculation puts the mass density at 7.9 g cm⁻³. As for the space group: F-43m, No. 216. The magnetization is 0.0 μB/f.u.

(11)
Here is a relaxed SmTmTe3Pb crystal from OQMD. Energies are from PBE-GGA.

a = 7.965 Å, b = 7.965 Å, c = 11.919 Å
α = 90.00°, β = 90.00°, γ = 147.42°
Positions (direct):
Pb: 0.301 0.699 0.250
Pb: 0.699 0.301 0.750
Sm: 0.500 0.500 0.000
Sm: 0.500 0.500 0.500
Te: 0.858 0.142 0.047
Te: 0.597 0.403 0.250
Te: 0.858 0.142 0.453
Te: 0.142 0.858 0.547
Te: 0.403 0.597 0.750
Te: 0.142 0.858 0.953
Tm: 0.972 0.028 0.250
Tm: 0.028 0.972 0.750

## Properties
The total energy is -55.3 eV per cell. The calculation puts the mass density at 7.4 g cm⁻³. As for the space group: Cmcm, No. 63. The magnetization is 0.0 μB/f.u.

(12)
Here is a relaxed SmZnTe3Pb crystal from OQMD. Energies are from PBE-GGA.

a = 7.714 Å, b = 7.714 Å, c = 11.444 Å
α = 90.00°, β = 90.00°, γ = 146.82°
Positions (direct):
Pb: 0.715 0.285 0.250
Pb: 0.285 0.715 0.750
Sm: 0.500 0.500 0.000
Sm: 0.500 0.500 0.500
Te: 0.145 0.855 0.060
Te: 0.409 0.591 0.250
Te: 0.145 0.855 0.440
Te: 0.855 0.145 0.560
Te: 0.591 0.409 0.750
Te: 0.855 0.145 0.940
Zn: 0.026 0.974 0.250
Zn: 0.974 0.026 0.750

## Properties
The total energy is -46.5 eV per cell. The calculation puts the mass density at 7.2 g cm⁻³. As for the space group: Cmcm, No. 63. The magnetization is 0.0 μB/f.u.

(13)
Here is a relaxed SmThPb crystal from OQMD. Energies are from PBE-GGA.

a = 5.303 Å, b = 5.303 Å, c = 5.303 Å
α = 60.00°, β = 60.00°, γ = 60.00°
Positions (direct):
Pb: 0.000 0.000 0.000
Sm: 0.250 0.250 0.250
Th: 0.750 0.750 0.750

## Properties
The total energy is -15.9 eV per cell. The calculation puts the mass density at 9.3 g cm⁻³. As for the space group: F-43m, No. 216. The magnetization is 0.0 μB/f.u.

(14)
Here is a relaxed SmTmPb crystal from OQMD. Energies are from PBE-GGA.

a = 5.188 Å, b = 5.188 Å, c = 5.188 Å
α = 60.00°, β = 60.00°, γ = 60.00°
Positions (direct):
Pb: 0.000 0.000 0.000
Sm: 0.250 0.250 0.250
Tm: 0.750 0.750 0.750

## Properties
The total energy is -13.5 eV per cell. The calculation puts the mass density at 8.9 g cm⁻³. As for the space group: F-43m, No. 216. The magnetization is 0.0 μB/f.u.

(15)
Here is a relaxed SmYPb crystal from OQMD. Energies are from PBE-GGA.

a = 5.225 Å, b = 5.225 Å, c = 5.225 Å
α = 60.00°, β = 60.00°, γ = 60.00°
Positions (direct):
Pb: 0.000 0.000 0.000
Sm: 0.250 0.250 0.250
Y: 0.750 0.750 0.750

## Properties
The total energy is -15.6 eV per cell. The calculation puts the mass density at 7.3 g cm⁻³. As for the space group: F-43m, No. 216. The magnetization is 0.1 μB/f.u.

(16)
Here is a relaxed SmZrPb crystal from OQMD. Energies are from PBE-GGA.

a = 5.195 Å, b = 5.195 Å, c = 5.195 Å
α = 60.00°, β = 60.00°, γ = 60.00°
Positions (direct):
Pb: 0.250 0.250 0.250
Sm: 0.000 0.000 0.000
Zr: 0.750 0.750 0.750

## Properties
The total energy is -15.1 eV per cell. The calculation puts the mass density at 7.5 g cm⁻³. As for the space group: F-43m, No. 216. The magnetization is 3.0 μB/f.u.

(17)
Here is a relaxed SmZrPb crystal from OQMD. Energies are from PBE-GGA.

a = 4.440 Å, b = 4.440 Å, c = 8.490 Å
α = 90.00°, β = 90.00°, γ = 90.00°
Positions (direct):
Pb: 0.000 0.500 0.234
Pb: 0.500 0.000 0.766
Sm: 0.500 0.000 0.161
Sm: 0.000 0.500 0.839
Zr: 0.000 0.000 0.500
Zr: 0.500 0.500 0.500

## Properties
The total energy is -36.3 eV per cell. The calculation puts the mass density at 8.9 g cm⁻³. As for the space group: P4/nmm, No. 129. The magnetization is 0.0 μB/f.u.

(18)
Here is a relaxed SmZrPb crystal from OQMD. Energies are from PBE-GGA.

a = 5.051 Å, b = 5.051 Å, c = 5.051 Å
α = 60.00°, β = 60.00°, γ = 60.00°
Positions (direct):
Pb: 0.000 0.000 0.000
Sm: 0.250 0.250 0.250
Zr: 0.750 0.750 0.750

## Properties
The total energy is -16.8 eV per cell. The calculation puts the mass density at 8.2 g cm⁻³. As for the space group: F-43m, No. 216. The magnetization is 0.0 μB/f.u.

(19)
Here is a relaxed SrZn2SnPb crystal from OQMD. Energies are from PBE-GGA.

a = 4.764 Å, b = 4.764 Å, c = 11.506 Å
α = 90.00°, β = 90.00°, γ = 90.00°
Positions (direct):
Pb: 0.000 0.000 0.500
Pb: 0.500 0.500 0.500
Sn: 0.500 0.000 0.127
Sn: 0.000 0.500 0.873
Sr: 0.000 0.500 0.232
Sr: 0.500 0.000 0.768
Zn: 0.000 0.000 0.000
Zn: 0.500 0.500 0.000
Zn: 0.500 0.000 0.355
Zn: 0.000 0.500 0.645

## Properties
The total energy is -26.9 eV per cell. The calculation puts the mass density at 6.9 g cm⁻³. As for the space group: P4/nmm, No. 129.

(20)
Here is a relaxed TaSnPb crystal from OQMD. Energies are from PBE-GGA.

a = 4.900 Å, b = 4.900 Å, c = 4.900 Å
α = 60.00°, β = 60.00°, γ = 60.00°
Positions (direct):
Pb: 0.250 0.250 0.250
Sn: 0.000 0.000 0.000
Ta: 0.750 0.750 0.750

## Properties
The total energy is -16.4 eV per cell. The calculation puts the mass density at 10.1 g cm⁻³. As for the space group: F-43m, No. 216. The magnetization is 0.9 μB/f.u.